No. 1
Below is a geometry-optimized AgBi2Au2 structure, with properties calculated at the PBE level.

The space group is P4/mbm (No. 127) and the conventional cell measures 7.9949, 7.9949 and 3.9286 Å, with angles of 90.00, 90.00 and 90.00 degrees. Symmetry generates all atoms from Ag at (0.0000, 0.0000, 0.0000), Bi at (0.1785, 0.3215, 0.0000) and Au at (0.1267, 0.6267, 0.5000).

The energy of formation from the pure elements comes out at 0.631 eV per formula unit. The calculation puts the energy relative to the lowest polymorph listed for this composition at 0.107 eV per atom.

=====

No. 2
Below is a geometry-optimized Ag3BiAu structure, with properties calculated at the PBE level.

The space group is P6_3/mmc (No. 194) and the conventional cell measures 6.9324, 6.9324 and 5.4428 Å, with angles of 90.00, 90.00 and 120.00 degrees. Symmetry generates all atoms from Ag at (0.1994, 0.3988, 0.2500), Bi at (0.3333, 0.6667, 0.7500) and Au at (0.0000, 0.0000, 0.0000).

The energy of formation from the pure elements comes out at 0.826 eV per formula unit. The calculation puts the energy relative to the lowest polymorph listed for this composition at 0.000 eV per atom.

=====

No. 3
Below is a geometry-optimized Ag2BiAu structure, with properties calculated at the PBE level.

The space group is Cm (No. 8) and the conventional cell measures 5.6516, 3.2287 and 9.7370 Å, with angles of 90.00, 101.89 and 90.00 degrees. Symmetry generates all atoms from Ag at (0.0000, 0.0000, 0.0000), Ag at (0.1785, 0.0000, 0.5443), Bi at (0.2576, 0.5000, 0.2713) and Au at (0.0888, 0.5000, 0.7722).

The energy of formation from the pure elements comes out at 0.536 eV per formula unit.

=====

No. 4
Below is a geometry-optimized AgBiAu4 structure, with properties calculated at the PBE level.

The space group is P6/mmm (No. 191) and the conventional cell measures 4.8697, 4.8697 and 5.9186 Å, with angles of 90.00, 90.00 and 120.00 degrees. Symmetry generates all atoms from Ag at (0.0000, 0.0000, 0.0000), Bi at (0.0000, 0.0000, 0.5000) and Au at (0.3333, 0.6667, 0.2409).

The energy of formation from the pure elements comes out at 0.225 eV per formula unit.

=====

No. 5
Below is a geometry-optimized AgBiAu2 structure, with properties calculated at the PBE level.

The space group is R3m (No. 160, hexagonal axes) and the conventional cell measures 4.2867, 4.2867 and 18.1878 Å, with angles of 90.00, 90.00 and 120.00 degrees. Symmetry generates all atoms from Ag at (0.0000, 0.0000, 0.0000), Bi at (0.0000, 0.0000, 0.1737), Au at (0.0000, 0.0000, 0.5911) and Au at (0.0000, 0.0000, 0.7481).

The energy of formation from the pure elements comes out at 0.367 eV per formula unit.

=====

No. 6
Below is a geometry-optimized AgBi4Au structure, with properties calculated at the PBE level.

The space group is P2_1/c (No. 14) and the conventional cell measures 7.0732, 7.0715 and 7.0033 Å, with angles of 90.00, 92.04 and 90.00 degrees. Symmetry generates all atoms from Ag at (0.0000, 0.0000, 0.0000), Bi at (0.1286, 0.1303, 0.3796), Bi at (0.3714, 0.6277, 0.3677) and Au at (0.5000, 0.0000, 0.5000).

The energy of formation from the pure elements comes out at 0.394 eV per formula unit.

=====

> What is the formula in the fourth record?

AgBiAu4

=====

> Which value of energy of formation from the pure elements does entry 4 give?

0.225 eV per formula unit